Entry 1:
First-principles (PBE-GGA) data for an optimized crystal structure of MgH3Ir, as listed in the Alexandria database.

Summary:
V, Å³ per atom: 8.9
Total energy, eV per cell: -43.50
Symmetry: Cm

CIF file:
```
data_MgH3Ir
_chemical_formula_sum 'Mg2 H6 Ir2'
_space_group_name_H-M_alt 'P 1'
_space_group_IT_number 1
_cell_length_a 4.979
_cell_length_b 4.979
_cell_length_c 6.201
_cell_angle_alpha 128.34
_cell_angle_beta 128.34
_cell_angle_gamma 53.25
loop_
_space_group_symop_operation_xyz
'x,y,z'
loop_
_atom_site_label
_atom_site_type_symbol
_atom_site_fract_x
_atom_site_fract_y
_atom_site_fract_z
Mg1 Mg 0.000 0.000 0.000
Mg2 Mg 0.156 0.156 0.656
H1 H 0.076 0.577 0.232
H2 H 0.232 0.704 0.689
H3 H 0.448 0.921 0.406
H4 H 0.577 0.076 0.232
H5 H 0.704 0.232 0.689
H6 H 0.921 0.448 0.406
Ir1 Ir 0.497 0.497 0.269
Ir2 Ir 0.656 0.656 0.927
```

***

Entry 2:
First-principles (PBE-GGA) data for an optimized crystal structure of Mg3H2Ir5, as listed in the Alexandria database.

Summary:
V, Å³ per atom: 12.8
Energy above the most stable polymorph in this dataset, eV/atom: 0.058
Symmetry: Cm

CIF file:
```
data_Mg3H2Ir5
_chemical_formula_sum 'Mg3 H2 Ir5'
_space_group_name_H-M_alt 'P 1'
_space_group_IT_number 1
_cell_length_a 5.368
_cell_length_b 5.368
_cell_length_c 4.890
_cell_angle_alpha 91.22
_cell_angle_beta 91.22
_cell_angle_gamma 65.48
loop_
_space_group_symop_operation_xyz
'x,y,z'
loop_
_atom_site_label
_atom_site_type_symbol
_atom_site_fract_x
_atom_site_fract_y
_atom_site_fract_z
Mg1 Mg 0.000 0.000 0.000
Mg2 Mg 0.269 0.754 0.485
Mg3 Mg 0.754 0.269 0.485
H1 H 0.214 0.214 0.003
H2 H 0.362 0.362 0.695
Ir1 Ir 0.259 0.259 0.349
Ir2 Ir 0.510 0.510 0.992
Ir3 Ir 0.528 0.985 0.832
Ir4 Ir 0.758 0.758 0.337
Ir5 Ir 0.985 0.528 0.832
```

***

Entry 3:
First-principles (PBE-GGA) data for an optimized crystal structure of MgH2Ir3, as listed in the Alexandria database.

Summary:
V, Å³ per atom: 10.9
Energy above the most stable polymorph in this dataset, eV/atom: 0.007
Symmetry: Amm2

CIF file:
```
data_MgH2Ir3
_chemical_formula_sum 'Mg1 H2 Ir3'
_space_group_name_H-M_alt 'P 1'
_space_group_IT_number 1
_cell_length_a 2.838
_cell_length_b 4.928
_cell_length_c 4.928
_cell_angle_alpha 70.99
_cell_angle_beta 90.00
_cell_angle_gamma 90.00
loop_
_space_group_symop_operation_xyz
'x,y,z'
loop_
_atom_site_label
_atom_site_type_symbol
_atom_site_fract_x
_atom_site_fract_y
_atom_site_fract_z
Mg1 Mg 0.000 0.000 0.000
H1 H 0.000 0.274 0.274
H2 H 0.500 0.844 0.844
Ir1 Ir 0.000 0.506 0.506
Ir2 Ir 0.500 0.000 0.481
Ir3 Ir 0.500 0.481 0.000
```

***

Entry 4:
First-principles (PBE-GGA) data for an optimized crystal structure of Mg3H6Ir, as listed in the Alexandria database.

Summary:
V, Å³ per atom: 9.4
Energy above the most stable polymorph in this dataset, eV/atom: 0.022
Symmetry: P-1

CIF file:
```
data_Mg3H6Ir
_chemical_formula_sum 'Mg3 H6 Ir1'
_space_group_name_H-M_alt 'P 1'
_space_group_IT_number 1
_cell_length_a 3.398
_cell_length_b 4.420
_cell_length_c 6.850
_cell_angle_alpha 108.59
_cell_angle_beta 104.20
_cell_angle_gamma 90.53
loop_
_space_group_symop_operation_xyz
'x,y,z'
loop_
_atom_site_label
_atom_site_type_symbol
_atom_site_fract_x
_atom_site_fract_y
_atom_site_fract_z
Mg1 Mg 0.000 0.000 0.000
Mg2 Mg 0.179 0.677 0.357
Mg3 Mg 0.821 0.323 0.643
H1 H 0.221 0.221 0.442
H2 H 0.401 0.140 0.806
H3 H 0.404 0.667 0.806
H4 H 0.596 0.333 0.194
H5 H 0.599 0.860 0.194
H6 H 0.779 0.779 0.558
Ir1 Ir 0.500 0.500 0.000
```

***

Entry 5:
First-principles (PBE-GGA) data for an optimized crystal structure of Mg2H3Ir4, as listed in the Alexandria database.

Summary:
V, Å³ per atom: 12.0
Energy above the most stable polymorph in this dataset, eV/atom: 0.057
Symmetry: P1

CIF file:
```
data_Mg2H3Ir4
_chemical_formula_sum 'Mg2 H3 Ir4'
_space_group_name_H-M_alt 'P 1'
_space_group_IT_number 1
_cell_length_a 2.837
_cell_length_b 4.623
_cell_length_c 8.599
_cell_angle_alpha 103.54
_cell_angle_beta 99.47
_cell_angle_gamma 90.02
loop_
_space_group_symop_operation_xyz
'x,y,z'
loop_
_atom_site_label
_atom_site_type_symbol
_atom_site_fract_x
_atom_site_fract_y
_atom_site_fract_z
Mg1 Mg 0.000 0.000 0.000
Mg2 Mg 0.232 0.082 0.458
H1 H 0.572 0.771 0.142
H2 H 0.636 0.340 0.270
H3 H 0.989 0.478 0.979
Ir1 Ir 0.096 0.578 0.191
Ir2 Ir 0.364 0.861 0.725
Ir3 Ir 0.735 0.570 0.467
Ir4 Ir 0.877 0.369 0.749
```

***

Entry 6:
First-principles (PBE-GGA) data for an optimized crystal structure of Mg2H2Ir3, as listed in the Alexandria database.

Summary:
V, Å³ per atom: 12.6
Energy above the most stable polymorph in this dataset, eV/atom: 0.065
Symmetry: P-1

CIF file:
```
data_Mg2H2Ir3
_chemical_formula_sum 'Mg2 H2 Ir3'
_space_group_name_H-M_alt 'P 1'
_space_group_IT_number 1
_cell_length_a 4.539
_cell_length_b 4.753
_cell_length_c 4.922
_cell_angle_alpha 83.73
_cell_angle_beta 64.05
_cell_angle_gamma 67.67
loop_
_space_group_symop_operation_xyz
'x,y,z'
loop_
_atom_site_label
_atom_site_type_symbol
_atom_site_fract_x
_atom_site_fract_y
_atom_site_fract_z
Mg1 Mg 0.118 0.182 0.140
Mg2 Mg 0.882 0.818 0.860
H1 H 0.029 0.198 0.652
H2 H 0.971 0.802 0.348
Ir1 Ir 0.412 0.544 0.272
Ir2 Ir 0.500 0.000 0.500
Ir3 Ir 0.588 0.456 0.728
```

***

Entry 7:
First-principles (PBE-GGA) data for an optimized crystal structure of Mg2H7Ir, as listed in the Alexandria database.

Summary:
V, Å³ per atom: 10.0
Energy above the most stable polymorph in this dataset, eV/atom: 0.000
Symmetry: R-3m

CIF file:
```
data_Mg2H7Ir
_chemical_formula_sum 'Mg2 H7 Ir1'
_space_group_name_H-M_alt 'P 1'
_space_group_IT_number 1
_cell_length_a 6.099
_cell_length_b 6.099
_cell_length_c 6.099
_cell_angle_alpha 44.24
_cell_angle_beta 44.24
_cell_angle_gamma 44.24
loop_
_space_group_symop_operation_xyz
'x,y,z'
loop_
_atom_site_label
_atom_site_type_symbol
_atom_site_fract_x
_atom_site_fract_y
_atom_site_fract_z
Mg1 Mg 0.108 0.108 0.108
Mg2 Mg 0.892 0.892 0.892
H1 H 0.000 0.000 0.000
H2 H 0.108 0.602 0.602
H3 H 0.398 0.398 0.892
H4 H 0.398 0.892 0.398
H5 H 0.602 0.108 0.602
H6 H 0.602 0.602 0.108
H7 H 0.892 0.398 0.398
Ir1 Ir 0.500 0.500 0.500
```

***

Entry 8:
First-principles (PBE-GGA) data for an optimized crystal structure of Mg2H2Ir, as listed in the Alexandria database.

Summary:
V, Å³ per atom: 12.9
Energy above the most stable polymorph in this dataset, eV/atom: 0.082
Symmetry: I4/mmm

CIF file:
```
data_Mg2H2Ir
_chemical_formula_sum 'Mg2 H2 Ir1'
_space_group_name_H-M_alt 'P 1'
_space_group_IT_number 1
_cell_length_a 4.506
_cell_length_b 4.506
_cell_length_c 4.506
_cell_angle_alpha 119.94
_cell_angle_beta 119.94
_cell_angle_gamma 90.11
loop_
_space_group_symop_operation_xyz
'x,y,z'
loop_
_atom_site_label
_atom_site_type_symbol
_atom_site_fract_x
_atom_site_fract_y
_atom_site_fract_z
Mg1 Mg 0.250 0.750 0.500
Mg2 Mg 0.750 0.250 0.500
H1 H 0.236 0.236 0.000
H2 H 0.764 0.764 0.000
Ir1 Ir 0.500 0.500 0.000
```

***

Question: V of number 1 (MgH3Ir)?
Answer: 8.9 Å³ per atom